# 1
# FeBSb2 (PBEsol, optimized geometry)
data_FeBSb2
_space_group_name_H-M_alt 'P 1'
_space_group_IT_number 1
_space_group_name_Hall 'P 1'
_cell_length_a 6.450
_cell_length_b 6.450
_cell_length_c 6.450
_cell_angle_alpha 127.06
_cell_angle_beta 127.06
_cell_angle_gamma 78.16
loop_
_atom_site_label
_atom_site_type_symbol
_atom_site_fract_x
_atom_site_fract_y
_atom_site_fract_z
Fe1 Fe 0.000 0.000 0.000
Fe2 Fe 0.750 0.250 0.500
B1 B 0.250 0.750 0.500
B2 B 0.500 0.500 0.000
Sb1 Sb 0.161 0.625 0.036
Sb2 Sb 0.375 0.411 0.536
Sb3 Sb 0.589 0.125 0.964
Sb4 Sb 0.875 0.839 0.464
# - Formation energy from raw total energies: 647 meV per atom
# - Crystal system: tetragonal
# - Space group: No. 122
# - N(E_F): 10.2 states/eV per cell
# - Total DFT energy (no corrections): -22.5 eV/f.u.

***

# 2
# Fe2BSb (PBEsol, optimized geometry)
data_Fe2BSb
_space_group_name_H-M_alt 'P 1'
_space_group_IT_number 1
_space_group_name_Hall 'P 1'
_cell_length_a 3.997
_cell_length_b 3.997
_cell_length_c 3.997
_cell_angle_alpha 60.00
_cell_angle_beta 60.00
_cell_angle_gamma 60.00
loop_
_atom_site_label
_atom_site_type_symbol
_atom_site_fract_x
_atom_site_fract_y
_atom_site_fract_z
Fe1 Fe 0.250 0.250 0.250
Fe2 Fe 0.750 0.750 0.750
B1 B 0.000 0.000 0.000
Sb1 Sb 0.500 0.500 0.500
# - Formation energy from raw total energies: 505 meV per atom
# - Crystal system: cubic
# - Space group: No. 225
# - N(E_F): 1.2 states/eV per cell
# - Total DFT energy (no corrections): -27.5 eV/f.u.

***

# 3
# Sc2FeB (PBEsol, optimized geometry)
data_Sc2FeB
_space_group_name_H-M_alt 'P 1'
_space_group_IT_number 1
_space_group_name_Hall 'P 1'
_cell_length_a 8.291
_cell_length_b 8.291
_cell_length_c 8.291
_cell_angle_alpha 21.04
_cell_angle_beta 21.04
_cell_angle_gamma 21.04
loop_
_atom_site_label
_atom_site_type_symbol
_atom_site_fract_x
_atom_site_fract_y
_atom_site_fract_z
Sc1 Sc 0.101 0.101 0.101
Sc2 Sc 0.899 0.899 0.899
Fe1 Fe 0.000 0.000 0.000
B1 B 0.500 0.500 0.500
# - Crystal system: trigonal
# - Space group: No. 166
# - ΔE_f: 0.469 eV per atom
# - N(E_F): 3.5 states/eV per cell
# - Total DFT energy (no corrections): -27.3 eV/f.u.

***

# 4
# FeB3Se (PBEsol, optimized geometry)
data_FeB3Se
_space_group_name_H-M_alt 'P 1'
_space_group_IT_number 1
_space_group_name_Hall 'P 1'
_cell_length_a 3.854
_cell_length_b 3.854
_cell_length_c 3.854
_cell_angle_alpha 90.00
_cell_angle_beta 90.00
_cell_angle_gamma 90.00
loop_
_atom_site_label
_atom_site_type_symbol
_atom_site_fract_x
_atom_site_fract_y
_atom_site_fract_z
Fe1 Fe 0.000 0.000 0.000
B1 B 0.000 0.000 0.500
B2 B 0.000 0.500 0.000
B3 B 0.500 0.000 0.000
Se1 Se 0.500 0.500 0.500
# - Formation energy from raw total energies: 1235 meV per atom
# - Crystal system: cubic
# - Space group: No. 221
# - N(E_F): 5.0 states/eV per cell
# - Total DFT energy (no corrections): -27.7 eV/f.u.